Entry 1:
## NbVTcPd (PBE-GGA)

Data for a relaxed NbVTcPd crystal.

Computed properties:
formation enthalpy at 0 K	-0.328	eV per formula unit
VASP energy	-8.769	eV/atom

Unit cell a=4.452 b=4.452 c=4.452 alpha=60.00 beta=60.00 gamma=60.00
Atoms (fractional coordinates):
Nb (0.000, 0.000, 0.000)
V (0.500, 0.500, 0.500)
Tc (0.750, 0.750, 0.750)
Pd (0.250, 0.250, 0.250)

=====

Entry 2:
## Sr3Mg2Cd2Hg4 (PBE-GGA)

Data for a relaxed Sr3Mg2Cd2Hg4 crystal.

Computed properties:
formation enthalpy at 0 K	-3.786	eV per formula unit
VASP energy	-1.369	eV/atom

Unit cell a=5.037 b=5.037 c=14.891 alpha=90.00 beta=90.00 gamma=120.00
Atoms (fractional coordinates):
Sr (0.000, 0.000, 0.000)
Sr (0.000, 0.000, 0.273)
Sr (0.000, 0.000, 0.727)
Mg (0.333, 0.667, 0.569)
Mg (0.667, 0.333, 0.431)
Cd (0.333, 0.667, 0.142)
Cd (0.667, 0.333, 0.858)
Hg (0.333, 0.667, 0.380)
Hg (0.333, 0.667, 0.865)
Hg (0.667, 0.333, 0.135)
Hg (0.667, 0.333, 0.620)

=====

Entry 3:
## CsTe2Au2Se6 (PBE-GGA)

Data for a relaxed CsTe2Au2Se6 crystal.

Computed properties:
VASP energy	-3.294	eV/atom
raw formation energy	-0.148	eV per atom

Unit cell a=6.572 b=7.468 c=8.884 alpha=69.16 beta=79.59 gamma=83.39
Atoms (fractional coordinates):
Cs (0.000, 0.000, 0.000)
Te (0.045, 0.281, 0.401)
Te (0.955, 0.719, 0.599)
Au (0.452, 0.547, 0.772)
Au (0.548, 0.453, 0.228)
Se (0.221, 0.407, 0.656)
Se (0.249, 0.919, 0.598)
Se (0.276, 0.373, 0.107)
Se (0.724, 0.627, 0.893)
Se (0.751, 0.081, 0.402)
Se (0.779, 0.593, 0.344)

=====

Entry 4:
## SrTbMgZn (PBE-GGA)

Data for a relaxed SrTbMgZn crystal.

Computed properties:
formation enthalpy at 0 K	-0.252	eV per formula unit
VASP energy	-2.358	eV/atom

Unit cell a=5.439 b=5.439 c=5.439 alpha=60.00 beta=60.00 gamma=60.00
Atoms (fractional coordinates):
Sr (0.000, 0.000, 0.000)
Tb (0.500, 0.500, 0.500)
Mg (0.250, 0.250, 0.250)
Zn (0.750, 0.750, 0.750)

=====

Entry 5:
## Th4Bi3Os (PBE-GGA)

Data for a relaxed Th4Bi3Os crystal.

Computed properties:
formation enthalpy at 0 K	-4.398	eV per formula unit
VASP energy	-7.119	eV/atom

Unit cell a=8.009 b=9.104 c=7.589 alpha=90.00 beta=109.05 gamma=90.00
Atoms (fractional coordinates):
Th (0.208, 0.110, 0.011)
Th (0.208, 0.890, 0.511)
Th (0.228, 0.342, 0.471)
Th (0.228, 0.658, 0.971)
Th (0.772, 0.342, 0.029)
Th (0.772, 0.658, 0.529)
Th (0.792, 0.110, 0.489)
Th (0.792, 0.890, 0.989)
Bi (0.000, 0.382, 0.750)
Bi (0.000, 0.618, 0.250)
Bi (0.500, 0.121, 0.750)
Bi (0.500, 0.388, 0.250)
Bi (0.500, 0.612, 0.750)
Bi (0.500, 0.879, 0.250)
Os (0.000, 0.118, 0.250)
Os (0.000, 0.882, 0.750)

=====

Entry 6:
## LuThFe (PBE-GGA)

Data for a relaxed LuThFe crystal.

Computed properties:
formation enthalpy at 0 K	0.126	eV per formula unit
ΔE to the lowest computed polymorph	0	meV per atom
VASP energy	-6.759	eV/atom

Unit cell a=6.633 b=6.633 c=6.633 alpha=150.46 beta=150.46 gamma=42.26
Atoms (fractional coordinates):
Lu (0.000, 0.000, 0.000)
Th (0.265, 0.265, 0.000)
Fe (0.635, 0.635, 0.000)

=====

Entry 7:
## Ti6Ni12Hg (PBE-GGA)

Data for a relaxed Ti6Ni12Hg crystal.

Computed properties:
formation enthalpy at 0 K	-1.183	eV per formula unit
VASP energy	-6.223	eV/atom

Unit cell a=6.956 b=6.956 c=6.956 alpha=108.32 beta=108.32 gamma=108.32
Atoms (fractional coordinates):
Ti (0.239, 0.695, 0.695)
Ti (0.305, 0.305, 0.761)
Ti (0.305, 0.761, 0.305)
Ti (0.695, 0.239, 0.695)
Ti (0.695, 0.695, 0.239)
Ti (0.761, 0.305, 0.305)
Ni (0.108, 0.500, 0.892)
Ni (0.108, 0.892, 0.500)
Ni (0.169, 0.384, 0.384)
Ni (0.384, 0.169, 0.384)
Ni (0.384, 0.384, 0.169)
Ni (0.500, 0.108, 0.892)
Ni (0.500, 0.892, 0.108)
Ni (0.616, 0.616, 0.831)
Ni (0.616, 0.831, 0.616)
Ni (0.831, 0.616, 0.616)
Ni (0.892, 0.108, 0.500)
Ni (0.892, 0.500, 0.108)
Hg (0.000, 0.000, 0.000)

=====

Entry 8:
## MgAuSCl2 (PBE-GGA)

Data for a relaxed MgAuSCl2 crystal.

Computed properties:
ΔE to the lowest computed polymorph	0	meV per atom
VASP energy	-2.808	eV/atom
raw formation energy	-0.269	eV per atom

Unit cell a=4.729 b=4.729 c=5.214 alpha=90.00 beta=90.00 gamma=90.00
Atoms (fractional coordinates):
Mg (0.000, 0.000, 0.000)
Au (0.500, 0.500, 0.500)
S (0.000, 0.000, 0.500)
Cl (0.000, 0.500, 0.000)
Cl (0.500, 0.000, 0.000)

=====

Entry 9:
## LaYHgOs (PBE-GGA)

Data for a relaxed LaYHgOs crystal.

Computed properties:
formation enthalpy at 0 K	-0.702	eV per formula unit
VASP energy	-5.906	eV/atom

Unit cell a=5.150 b=5.150 c=5.150 alpha=60.00 beta=60.00 gamma=60.00
Atoms (fractional coordinates):
La (0.000, 0.000, 0.000)
Y (0.500, 0.500, 0.500)
Hg (0.250, 0.250, 0.250)
Os (0.750, 0.750, 0.750)

=====

Entry 10:
## AcDyTm3 (PBE-GGA)

Data for a relaxed AcDyTm3 crystal.

Computed properties:
formation enthalpy at 0 K	0.813	eV per formula unit
VASP energy	-4.262	eV/atom

Unit cell a=9.343 b=9.343 c=8.536 alpha=111.17 beta=111.17 gamma=30.22
Atoms (fractional coordinates):
Ac (0.115, 0.115, 0.150)
Ac (0.885, 0.885, 0.850)
Dy (0.313, 0.313, 0.111)
Dy (0.687, 0.687, 0.889)
Tm (0.056, 0.056, 0.696)
Tm (0.227, 0.227, 0.627)
Tm (0.415, 0.415, 0.551)
Tm (0.585, 0.585, 0.449)
Tm (0.773, 0.773, 0.373)
Tm (0.944, 0.944, 0.304)

=====

Entry 11:
## K3HgTe3 (PBE-GGA)

Data for a relaxed K3HgTe3 crystal.

Computed properties:
ΔE to the lowest computed polymorph	8	meV per atom
VASP energy	-2.517	eV/atom
raw formation energy	-0.657	eV per atom

Unit cell a=7.196 b=7.196 c=7.196 alpha=109.83 beta=109.83 gamma=109.83
Atoms (fractional coordinates):
K (0.036, 0.482, 0.482)
K (0.482, 0.036, 0.482)
K (0.482, 0.482, 0.036)
Hg (0.874, 0.874, 0.874)
Te (0.561, 0.973, 0.973)
Te (0.973, 0.561, 0.973)
Te (0.973, 0.973, 0.561)

=====

Entry 12:
## BaAgPd3 (PBE-GGA)

Data for a relaxed BaAgPd3 crystal.

Computed properties:
formation enthalpy at 0 K	-1.404	eV per formula unit
ΔE to the lowest computed polymorph	0	meV per atom
VASP energy	-4.351	eV/atom

Unit cell a=6.885 b=6.885 c=6.885 alpha=132.28 beta=111.72 gamma=87.55
Atoms (fractional coordinates):
Ba (0.251, 0.001, 0.250)
Ba (0.749, 0.999, 0.750)
Ag (0.000, 0.500, 0.500)
Ag (0.500, 0.500, 0.000)
Pd (0.049, 0.299, 0.750)
Pd (0.307, 0.000, 0.807)
Pd (0.307, 0.500, 0.307)
Pd (0.693, 0.000, 0.193)
Pd (0.693, 0.500, 0.693)
Pd (0.951, 0.701, 0.250)

=====

Entry 13:
## CoHg2Br (PBE-GGA)

Data for a relaxed CoHg2Br crystal.

Computed properties:
ΔE to the lowest computed polymorph	165	meV per atom
VASP energy	-2.088	eV/atom
raw formation energy	0.258	eV per atom

Unit cell a=3.185 b=3.185 c=9.202 alpha=90.00 beta=90.00 gamma=90.00
Atoms (fractional coordinates):
Co (0.000, 0.000, 0.000)
Hg (0.000, 0.000, 0.500)
Hg (0.500, 0.500, 0.788)
Br (0.500, 0.500, 0.141)

=====

Entry 14:
## Ga2TcW (PBE-GGA)

Data for a relaxed Ga2TcW crystal.

Computed properties:
formation enthalpy at 0 K	0.306	eV per formula unit
ΔE to the lowest computed polymorph	0	meV per atom
VASP energy	-7.267	eV/atom

Unit cell a=8.707 b=8.707 c=8.707 alpha=19.02 beta=19.02 gamma=19.02
Atoms (fractional coordinates):
Ga (0.000, 0.000, 0.000)
Ga (0.173, 0.173, 0.173)
Tc (0.587, 0.587, 0.587)
W (0.753, 0.753, 0.753)

=====

Entry 15:
## Ba2CaAs (PBE-GGA)

Data for a relaxed Ba2CaAs crystal.

Computed properties:
formation enthalpy at 0 K	-1.175	eV per formula unit
VASP energy	-2.918	eV/atom

Unit cell a=6.627 b=6.627 c=6.627 alpha=134.54 beta=134.54 gamma=66.24
Atoms (fractional coordinates):
Ba (0.250, 0.750, 0.500)
Ba (0.750, 0.250, 0.500)
Ca (0.000, 0.000, 0.000)
As (0.500, 0.500, 0.000)

=====

Entry 16:
## ZnCuOF2 (PBE-GGA)

Data for a relaxed ZnCuOF2 crystal.

Computed properties:
VASP energy	-3.741	eV/atom
raw formation energy	-0.927	eV per atom

Unit cell a=3.848 b=3.848 c=3.956 alpha=90.00 beta=90.00 gamma=90.00
Atoms (fractional coordinates):
Zn (0.000, 0.000, 0.000)
Cu (0.500, 0.500, 0.500)
O (0.500, 0.500, 0.000)
F (0.000, 0.500, 0.500)
F (0.500, 0.000, 0.500)

=====

Entry 17:
## CeGdTmTh (PBE-GGA)

Data for a relaxed CeGdTmTh crystal.

Computed properties:
formation enthalpy at 0 K	0.824	eV per formula unit
VASP energy	-7.770	eV/atom

Unit cell a=5.649 b=5.649 c=5.649 alpha=60.00 beta=60.00 gamma=60.00
Atoms (fractional coordinates):
Ce (0.000, 0.000, 0.000)
Gd (0.500, 0.500, 0.500)
Tm (0.750, 0.750, 0.750)
Th (0.250, 0.250, 0.250)

=====

Entry 18:
## PmDy3Er2P6 (PBE-GGA)

Data for a relaxed PmDy3Er2P6 crystal.

Computed properties:
formation enthalpy at 0 K	-19.191	eV per formula unit
VASP energy	-6.611	eV/atom

Unit cell a=6.955 b=6.955 c=6.956 alpha=99.59 beta=99.59 gamma=120.00
Atoms (fractional coordinates):
Pm (0.000, 0.000, 0.000)
Dy (0.166, 0.834, 0.500)
Dy (0.500, 0.500, 0.500)
Dy (0.834, 0.166, 0.500)
Er (0.333, 0.667, 0.000)
Er (0.667, 0.333, 0.000)
P (0.084, 0.422, 0.251)
P (0.255, 0.255, 0.750)
P (0.422, 0.084, 0.251)
P (0.578, 0.916, 0.749)
P (0.745, 0.745, 0.250)
P (0.916, 0.578, 0.749)

=====

Entry 19:
## BaSmSn2Pd5 (PBE-GGA)

Data for a relaxed BaSmSn2Pd5 crystal.

Computed properties:
formation enthalpy at 0 K	-4.706	eV per formula unit
VASP energy	-5.035	eV/atom

Unit cell a=4.779 b=4.779 c=8.867 alpha=90.00 beta=90.00 gamma=90.00
Atoms (fractional coordinates):
Ba (0.000, 0.000, 0.000)
Sm (0.000, 0.000, 0.500)
Sn (0.500, 0.500, 0.341)
Sn (0.500, 0.500, 0.659)
Pd (0.000, 0.500, 0.230)
Pd (0.000, 0.500, 0.770)
Pd (0.500, 0.000, 0.230)
Pd (0.500, 0.000, 0.770)
Pd (0.500, 0.500, 0.000)

=====

Entry 20:
## CaB3O10 (PBE-GGA)

Data for a relaxed CaB3O10 crystal.

Computed properties:
ΔE to the lowest computed polymorph	61	meV per atom
VASP energy	-6.561	eV/atom
raw formation energy	-1.445	eV per atom

Unit cell a=5.739 b=6.611 c=10.125 alpha=105.25 beta=99.24 gamma=98.65
Atoms (fractional coordinates):
Ca (0.155, 0.185, 0.390)
Ca (0.845, 0.815, 0.610)
B (0.110, 0.553, 0.849)
B (0.170, 0.659, 0.367)
B (0.204, 0.206, 0.721)
B (0.796, 0.794, 0.279)
B (0.830, 0.341, 0.633)
B (0.890, 0.447, 0.151)
O (0.008, 0.800, 0.396)
O (0.043, 0.087, 0.043)
O (0.073, 0.452, 0.264)
O (0.174, 0.719, 0.969)
O (0.196, 0.008, 0.743)
O (0.232, 0.389, 0.842)
O (0.268, 0.593, 0.495)
O (0.373, 0.786, 0.321)
O (0.409, 0.268, 0.642)
O (0.415, 0.751, 0.604)
O (0.585, 0.249, 0.396)
O (0.591, 0.732, 0.358)
O (0.627, 0.214, 0.679)
O (0.732, 0.407, 0.505)
O (0.768, 0.611, 0.158)
O (0.804, 0.992, 0.257)
O (0.826, 0.281, 0.031)
O (0.927, 0.548, 0.736)
O (0.957, 0.913, 0.957)
O (0.992, 0.200, 0.604)

=====

Entry 21:
## LaPdPbAu (PBE-GGA)

Data for a relaxed LaPdPbAu crystal.

Computed properties:
formation enthalpy at 0 K	-2.551	eV per formula unit
VASP energy	-4.914	eV/atom

Unit cell a=5.123 b=5.123 c=5.123 alpha=60.00 beta=60.00 gamma=60.00
Atoms (fractional coordinates):
La (0.000, 0.000, 0.000)
Pd (0.250, 0.250, 0.250)
Pb (0.500, 0.500, 0.500)
Au (0.750, 0.750, 0.750)

=====

Entry 22:
## HoEr3As4 (PBE-GGA)

Data for a relaxed HoEr3As4 crystal.

Computed properties:
formation enthalpy at 0 K	-12.180	eV per formula unit
ΔE to the lowest computed polymorph	4	meV per atom
VASP energy	-6.131	eV/atom

Unit cell a=7.077 b=7.077 c=4.088 alpha=90.00 beta=90.00 gamma=109.47
Atoms (fractional coordinates):
Ho (0.000, 0.000, 0.000)
Er (0.000, 0.500, 0.500)
Er (0.500, 0.000, 0.500)
Er (0.500, 0.500, 0.000)
As (0.250, 0.750, 0.000)
As (0.251, 0.251, 0.500)
As (0.749, 0.749, 0.500)
As (0.750, 0.250, 0.000)

=====

Entry 23:
## Bi3PdO6 (PBE-GGA)

Data for a relaxed Bi3PdO6 crystal.

Computed properties:
VASP energy	-5.579	eV/atom
raw formation energy	-0.921	eV per atom

Unit cell a=7.512 b=7.512 c=5.605 alpha=90.00 beta=90.00 gamma=101.30
Atoms (fractional coordinates):
Bi (0.100, 0.900, 0.500)
Bi (0.165, 0.422, 0.511)
Bi (0.422, 0.165, 0.011)
Bi (0.578, 0.835, 0.511)
Bi (0.835, 0.578, 0.011)
Bi (0.900, 0.100, 0.000)
Pd (0.377, 0.623, 0.009)
Pd (0.623, 0.377, 0.509)
O (0.107, 0.583, 0.190)
O (0.126, 0.171, 0.265)
O (0.171, 0.126, 0.765)
O (0.282, 0.718, 0.706)
O (0.417, 0.893, 0.190)
O (0.469, 0.531, 0.325)
O (0.531, 0.469, 0.825)
O (0.583, 0.107, 0.690)
O (0.718, 0.282, 0.206)
O (0.829, 0.874, 0.265)
O (0.874, 0.829, 0.765)
O (0.893, 0.417, 0.690)

=====

Entry 24:
## PaZn2Sn (PBE-GGA)

Data for a relaxed PaZn2Sn crystal.

Computed properties:
formation enthalpy at 0 K	0.011	eV per formula unit
ΔE to the lowest computed polymorph	119	meV per atom
VASP energy	-4.009	eV/atom

Unit cell a=4.876 b=4.876 c=4.876 alpha=60.00 beta=60.00 gamma=60.00
Atoms (fractional coordinates):
Pa (0.000, 0.000, 0.000)
Zn (0.250, 0.250, 0.250)
Zn (0.750, 0.750, 0.750)
Sn (0.500, 0.500, 0.500)